# 1
{
  "formula": "PrGa2CuPt5",
  "functional": "PBE",
  "state": "optimized geometry",
  "lattice": [[4.0460, 0.0000, 0.0000], [0.0000, 4.0460, 0.0000], [0.0000, 0.0000, 11.0276]],
  "species": ["Pr", "Ga", "Ga", "Cu", "Pt", "Pt", "Pt", "Pt", "Pt"],
  "frac_coords": [[0.0000, 0.0000, 0.0000], [0.5000, 0.5000, 0.2235], [0.5000, 0.5000, 0.7765], [0.0000, 0.0000, 0.5000], [0.0000, 0.5000, 0.3567], [0.0000, 0.5000, 0.6433], [0.5000, 0.0000, 0.3567], [0.5000, 0.0000, 0.6433], [0.5000, 0.5000, 0.0000]],
  "sg": "P4/mmm, No. 123",
  "crystal_system": "tetragonal",
  "e_tot_ev_per_atom": -5.448,
  "dos_ef_per_ev_cell": 3.37,
  "magnetic_moment_mub_per_fu": 0.00,
  "delta_e_f_kcal_per_mol_atoms": -9.989
}

***

# 2
{
  "formula": "Pr2Ga4Cu3Pt",
  "functional": "PBE",
  "state": "optimized geometry",
  "lattice": [[4.2574, 0.0000, 0.0000], [0.0000, 4.2574, 0.0000], [0.0000, 0.0000, 10.2561]],
  "species": ["Pr", "Pr", "Ga", "Ga", "Ga", "Ga", "Cu", "Cu", "Cu", "Pt"],
  "frac_coords": [[0.0000, 0.5000, 0.2489], [0.5000, 0.0000, 0.7511], [0.0000, 0.0000, 0.0000], [0.0000, 0.5000, 0.6336], [0.5000, 0.0000, 0.3664], [0.5000, 0.5000, 0.0000], [0.0000, 0.5000, 0.8712], [0.5000, 0.0000, 0.1288], [0.5000, 0.5000, 0.5000], [0.0000, 0.0000, 0.5000]],
  "sg": "P-4m2, No. 115",
  "crystal_system": "tetragonal",
  "e_tot_ev_per_atom": -4.562,
  "dos_ef_per_ev_cell": 6.75,
  "magnetic_moment_mub_per_fu": 0.00,
  "delta_e_f_kcal_per_mol_atoms": -12.980
}

***

# 3
{
  "formula": "PrGa4CuPt2",
  "functional": "PBE",
  "state": "optimized geometry",
  "lattice": [[2.1509, 1.2418, 8.8500], [-2.1509, 1.2418, 8.8500], [0.0000, -2.4837, 8.8500]],
  "species": ["Pr", "Ga", "Ga", "Ga", "Ga", "Cu", "Pt", "Pt"],
  "frac_coords": [[0.0000, 0.0000, 0.0000], [0.1326, 0.1326, 0.1326], [0.4011, 0.4011, 0.4011], [0.5989, 0.5989, 0.5989], [0.8674, 0.8674, 0.8674], [0.5000, 0.5000, 0.5000], [0.2365, 0.2365, 0.2365], [0.7635, 0.7635, 0.7635]],
  "sg": "R-3m, No. 166",
  "crystal_system": "trigonal",
  "e_tot_ev_per_atom": -4.737,
  "dos_ef_per_ev_cell": 2.22,
  "magnetic_moment_mub_per_fu": 0.00,
  "delta_e_f_kcal_per_mol_atoms": -13.927
}

***

# 4
{
  "formula": "Pr2Ga3CuPt4",
  "functional": "PBE",
  "state": "optimized geometry",
  "lattice": [[4.1713, 0.0000, 0.0000], [0.0000, 4.1713, 0.0000], [0.0000, 0.0000, 11.0485]],
  "species": ["Pr", "Pr", "Ga", "Ga", "Ga", "Cu", "Pt", "Pt", "Pt", "Pt"],
  "frac_coords": [[0.0000, 0.5000, 0.2445], [0.5000, 0.0000, 0.7555], [0.0000, 0.0000, 0.0000], [0.0000, 0.5000, 0.6329], [0.5000, 0.0000, 0.3671], [0.5000, 0.5000, 0.0000], [0.0000, 0.0000, 0.5000], [0.0000, 0.5000, 0.8611], [0.5000, 0.0000, 0.1389], [0.5000, 0.5000, 0.5000]],
  "sg": "P-4m2, No. 115",
  "crystal_system": "tetragonal",
  "e_tot_ev_per_atom": -5.563,
  "dos_ef_per_ev_cell": 6.44,
  "magnetic_moment_mub_per_fu": 0.00,
  "delta_e_f_kcal_per_mol_atoms": -20.129
}

***

# 5
{
  "formula": "Pr2GaCu2Pt5",
  "functional": "PBE",
  "state": "optimized geometry",
  "lattice": [[9.5959, 0.0000, 0.0000], [0.0000, 9.5959, 0.0000], [0.0000, 0.0000, 3.8779]],
  "species": ["Pr", "Pr", "Pr", "Pr", "Ga", "Ga", "Cu", "Cu", "Cu", "Cu", "Pt", "Pt", "Pt", "Pt", "Pt", "Pt", "Pt", "Pt", "Pt", "Pt"],
  "frac_coords": [[0.1766, 0.3234, 0.0000], [0.3234, 0.8234, 0.0000], [0.6766, 0.1766, 0.0000], [0.8234, 0.6766, 0.0000], [0.0000, 0.0000, 0.0000], [0.5000, 0.5000, 0.0000], [0.1222, 0.6222, 0.0000], [0.3778, 0.1222, 0.0000], [0.6222, 0.8778, 0.0000], [0.8778, 0.3778, 0.0000], [0.0000, 0.5000, 0.5000], [0.0632, 0.7953, 0.5000], [0.2047, 0.0632, 0.5000], [0.2953, 0.5632, 0.5000], [0.4368, 0.2953, 0.5000], [0.5000, 0.0000, 0.5000], [0.5632, 0.7047, 0.5000], [0.7047, 0.4368, 0.5000], [0.7953, 0.9368, 0.5000], [0.9368, 0.2047, 0.5000]],
  "sg": "P4/mbm, No. 127",
  "crystal_system": "tetragonal",
  "e_tot_ev_per_atom": -5.834,
  "dos_ef_per_ev_cell": 6.37,
  "magnetic_moment_mub_per_fu": 0.00,
  "delta_e_f_kcal_per_mol_atoms": -16.962
}

***

# 6
{
  "formula": "Pr3GaCu2Pt9",
  "functional": "PBE",
  "state": "optimized geometry",
  "lattice": [[7.6287, 0.0000, 0.0000], [-3.8144, 6.6067, 0.0000], [0.0000, 0.0000, 6.1343]],
  "species": ["Pr", "Pr", "Pr", "Ga", "Cu", "Cu", "Pt", "Pt", "Pt", "Pt", "Pt", "Pt", "Pt", "Pt", "Pt"],
  "frac_coords": [[0.0000, 0.0000, 0.0000], [0.3333, 0.6667, 0.6695], [0.6667, 0.3333, 0.3305], [0.0000, 0.0000, 0.5000], [0.3333, 0.6667, 0.1659], [0.6667, 0.3333, 0.8341], [0.0000, 0.5000, 0.0000], [0.1662, 0.3324, 0.3290], [0.1662, 0.8338, 0.3290], [0.3324, 0.1662, 0.6710], [0.5000, 0.0000, 0.0000], [0.5000, 0.5000, 0.0000], [0.6676, 0.8338, 0.3290], [0.8338, 0.1662, 0.6710], [0.8338, 0.6676, 0.6710]],
  "sg": "P-3m1, No. 164",
  "crystal_system": "trigonal",
  "e_tot_ev_per_atom": -5.747,
  "dos_ef_per_ev_cell": 3.75,
  "magnetic_moment_mub_per_fu": 0.00,
  "delta_e_f_kcal_per_mol_atoms": -9.646
}

***

# 7
{
  "formula": "PrGaCu2Pt2",
  "functional": "PBE",
  "state": "optimized geometry",
  "lattice": [[4.7020, 0.0000, 0.0000], [0.0000, 4.7020, 0.0000], [0.0000, 0.0000, 5.5281]],
  "species": ["Pr", "Ga", "Cu", "Cu", "Pt", "Pt"],
  "frac_coords": [[0.0000, 0.0000, 0.0000], [0.0000, 0.0000, 0.5000], [0.5000, 0.5000, 0.2505], [0.5000, 0.5000, 0.7495], [0.0000, 0.5000, 0.5000], [0.5000, 0.0000, 0.5000]],
  "sg": "P4/mmm, No. 123",
  "crystal_system": "tetragonal",
  "e_tot_ev_per_atom": -4.767,
  "dos_ef_per_ev_cell": 3.56,
  "magnetic_moment_mub_per_fu": 0.00,
  "delta_e_f_kcal_per_mol_atoms": -1.995
}

***

# 8
{
  "formula": "Pr2GaCuPt6",
  "functional": "PBE",
  "state": "optimized geometry",
  "lattice": [[0.0000, 4.7108, 4.7108], [4.7108, 0.0000, 4.7108], [4.7108, 4.7108, 0.0000]],
  "species": ["Pr", "Pr", "Ga", "Cu", "Pt", "Pt", "Pt", "Pt", "Pt", "Pt"],
  "frac_coords": [[0.2500, 0.2500, 0.2500], [0.7500, 0.7500, 0.7500], [0.0000, 0.0000, 0.0000], [0.5000, 0.5000, 0.5000], [0.2500, 0.2500, 0.7500], [0.2500, 0.7500, 0.2500], [0.2500, 0.7500, 0.7500], [0.7500, 0.2500, 0.2500], [0.7500, 0.2500, 0.7500], [0.7500, 0.7500, 0.2500]],
  "sg": "Fm-3m, No. 225",
  "crystal_system": "cubic",
  "e_tot_ev_per_atom": -5.620,
  "dos_ef_per_ev_cell": 7.47,
  "magnetic_moment_mub_per_fu": 0.00,
  "delta_e_f_kcal_per_mol_atoms": -7.557
}

***

# 9
{
  "formula": "PrGa3CuPt",
  "functional": "PBE",
  "state": "optimized geometry",
  "lattice": [[3.2500, -6.3055, 0.0000], [3.2500, 6.3055, 0.0000], [0.0000, 0.0000, 6.2426]],
  "species": ["Pr", "Pr", "Ga", "Ga", "Ga", "Ga", "Ga", "Ga", "Cu", "Cu", "Pt", "Pt"],
  "frac_coords": [[0.2222, 0.7778, 0.7500], [0.7778, 0.2222, 0.2500], [0.2130, 0.7870, 0.2500], [0.2982, 0.2982, 0.0000], [0.2982, 0.2982, 0.5000], [0.7018, 0.7018, 0.0000], [0.7018, 0.7018, 0.5000], [0.7870, 0.2130, 0.7500], [0.3919, 0.6081, 0.2500], [0.6081, 0.3919, 0.7500], [0.0223, 0.9777, 0.2500], [0.9777, 0.0223, 0.7500]],
  "sg": "Cmcm, No. 63",
  "crystal_system": "orthorhombic",
  "e_tot_ev_per_atom": -4.353,
  "dos_ef_per_ev_cell": 5.21,
  "magnetic_moment_mub_per_fu": 0.00,
  "delta_e_f_kcal_per_mol_atoms": -8.163
}

***

# 10
{
  "formula": "PrGa4Cu2Rh",
  "functional": "PBE",
  "state": "optimized geometry",
  "lattice": [[2.1025, 1.2139, 9.0658], [-2.1025, 1.2139, 9.0658], [0.0000, -2.4277, 9.0658]],
  "species": ["Pr", "Ga", "Ga", "Ga", "Ga", "Cu", "Cu", "Rh"],
  "frac_coords": [[0.0000, 0.0000, 0.0000], [0.1297, 0.1297, 0.1297], [0.4037, 0.4037, 0.4037], [0.5963, 0.5963, 0.5963], [0.8703, 0.8703, 0.8703], [0.2354, 0.2354, 0.2354], [0.7646, 0.7646, 0.7646], [0.5000, 0.5000, 0.5000]],
  "sg": "R-3m, No. 166",
  "crystal_system": "trigonal",
  "e_tot_ev_per_atom": -4.460,
  "dos_ef_per_ev_cell": 3.41,
  "magnetic_moment_mub_per_fu": 0.00,
  "delta_e_f_kcal_per_mol_atoms": -9.356
}

***

# 11
{
  "formula": "Pr2Ga3CuRh4",
  "functional": "PBE",
  "state": "optimized geometry",
  "lattice": [[4.2670, 0.0000, 0.0000], [0.0000, 4.2670, 0.0000], [0.0000, 0.0000, 10.2635]],
  "species": ["Pr", "Pr", "Ga", "Ga", "Ga", "Cu", "Rh", "Rh", "Rh", "Rh"],
  "frac_coords": [[0.0000, 0.5000, 0.2484], [0.5000, 0.0000, 0.7516], [0.0000, 0.5000, 0.8746], [0.5000, 0.0000, 0.1254], [0.5000, 0.5000, 0.5000], [0.0000, 0.0000, 0.5000], [0.0000, 0.0000, 0.0000], [0.0000, 0.5000, 0.6332], [0.5000, 0.0000, 0.3668], [0.5000, 0.5000, 0.0000]],
  "sg": "P-4m2, No. 115",
  "crystal_system": "tetragonal",
  "e_tot_ev_per_atom": -5.903,
  "dos_ef_per_ev_cell": 4.66,
  "magnetic_moment_mub_per_fu": 0.00,
  "delta_e_f_kcal_per_mol_atoms": -15.877
}

***

# 12
{
  "formula": "Pr2GaCu2Rh5",
  "functional": "PBE",
  "state": "optimized geometry",
  "lattice": [[9.4962, 0.0000, 0.0000], [0.0000, 9.4962, 0.0000], [0.0000, 0.0000, 3.7981]],
  "species": ["Pr", "Pr", "Pr", "Pr", "Ga", "Ga", "Cu", "Cu", "Cu", "Cu", "Rh", "Rh", "Rh", "Rh", "Rh", "Rh", "Rh", "Rh", "Rh", "Rh"],
  "frac_coords": [[0.1759, 0.3241, 0.0000], [0.3241, 0.8241, 0.0000], [0.6759, 0.1759, 0.0000], [0.8241, 0.6759, 0.0000], [0.0000, 0.0000, 0.0000], [0.5000, 0.5000, 0.0000], [0.1224, 0.6224, 0.0000], [0.3776, 0.1224, 0.0000], [0.6224, 0.8776, 0.0000], [0.8776, 0.3776, 0.0000], [0.0000, 0.5000, 0.5000], [0.0642, 0.7986, 0.5000], [0.2014, 0.0642, 0.5000], [0.2986, 0.5642, 0.5000], [0.4358, 0.2986, 0.5000], [0.5000, 0.0000, 0.5000], [0.5642, 0.7014, 0.5000], [0.7014, 0.4358, 0.5000], [0.7986, 0.9358, 0.5000], [0.9358, 0.2014, 0.5000]],
  "sg": "P4/mbm, No. 127",
  "crystal_system": "tetragonal",
  "e_tot_ev_per_atom": -6.173,
  "dos_ef_per_ev_cell": 18.69,
  "magnetic_moment_mub_per_fu": 0.00,
  "delta_e_f_kcal_per_mol_atoms": -9.674
}